VASP calculation (PBE) on crystalline La3SnO2 at its relaxed geometry.

Cell: 4.845 4.845 6.989 Å, 110.28 110.28 90.00°
Atoms (fractional coordinates):
1 La 0.250 0.750 0.500
2 O 0.302 0.302 0.605
3 La 0.750 0.250 0.500
4 La 0.500 0.500 0.000
5 O 0.698 0.698 0.395
6 Sn 0.000 0.000 0.000

## Properties
uncorrected energy	-0.2570	hartree per atom
space group	I4/mmm (139)
formation energy without anion corrections	-2210	meV per atom
N(E_F)	0.4443	states/eV/atom
crystal system	tetragonal
M_tot	0.00	μB/cell